(1)
# Ti3Cu2SnP6O24

A relaxed structure of Ti3Cu2SnP6O24 (GGA-PBEsol, Alexandria).

Unit cell a=8.6186 b=8.6186 c=20.9032 alpha=90.00 beta=90.00 gamma=120.00
Space group R3 (No. 146, hexagonal axes)
Symmetry-distinct sites (fractional):
Ti 0.0000 0.0000 0.0000 [3 per cell]
Ti 0.0000 0.0000 0.2183 [3 per cell]
Ti 0.0000 0.0000 0.7184 [3 per cell]
Cu 0.0000 0.0000 0.3520 [3 per cell]
Cu 0.0000 0.0000 0.8597 [3 per cell]
Sn 0.0000 0.0000 0.4987 [3 per cell]
P 0.0012 0.2927 0.6091 [9 per cell]
P 0.0462 0.6696 0.7752 [9 per cell]
O 0.0005 0.1854 0.6677 [9 per cell]
O 0.0120 0.2065 0.5466 [9 per cell]
O 0.0203 0.8344 0.7792 [9 per cell]
O 0.0279 0.1898 0.2786 [9 per cell]
O 0.1456 0.6678 0.8359 [9 per cell]
O 0.1530 0.6772 0.7157 [9 per cell]
O 0.1632 0.4848 0.6075 [9 per cell]
O 0.1692 0.6961 0.1011 [9 per cell]

Computed properties:
density: 3.554 g/cm³
DFT total energy: -278.9 eV/f.u.
formation energy without anion corrections: -2229.7 meV/atom

(2)
# CaZr2Cr

A relaxed structure of CaZr2Cr (GGA-PBEsol, Alexandria).

Unit cell a=3.334 b=3.334 c=8.060 alpha=90.00 beta=90.00 gamma=90.00
Space group P4mm (No. 99)
Symmetry-distinct sites (fractional):
Ca 0.000 0.000 0.000 [1 per cell]
Zr 0.000 0.000 0.427 [1 per cell]
Zr 0.500 0.500 0.666 [1 per cell]
Cr 0.500 0.500 0.257 [1 per cell]

Computed properties:
density: 5.087 g/cm³
density of states at the Fermi level: 1.24 states/eV/atom
DFT total energy: -28.9 eV/f.u.
calculated formation energy: 1.6 eV per formula unit

(3)
# ZrTc2Br

A relaxed structure of ZrTc2Br (GGA-PBEsol, Alexandria).

Unit cell a=3.196 b=3.196 c=6.435 alpha=90.00 beta=90.00 gamma=90.00
Space group P4/mmm (No. 123)
Symmetry-distinct sites (fractional):
Zr 0.000 0.000 0.000 [1 per cell]
Tc 0.500 0.500 0.252 [2 per cell]
Br 0.000 0.000 0.500 [1 per cell]

Computed properties:
density: 9.274 g/cm³
density of states at the Fermi level: 1.00 states/eV/atom
DFT total energy: -32.0 eV/f.u.
ΔE to the lowest computed polymorph: 15.4 kJ/mol of formula units
formation energy without anion corrections: 374.1 meV/atom

(4)
# Sc3OsC4

A relaxed structure of Sc3OsC4 (GGA-PBEsol, Alexandria).

Unit cell a=3.302 b=4.462 c=12.291 alpha=90.00 beta=90.00 gamma=90.00
Space group Immm (No. 71)
Symmetry-distinct sites (fractional):
Sc 0.000 0.000 0.000 [2 per cell]
Sc 0.000 0.500 0.191 [4 per cell]
Os 0.000 0.000 0.500 [2 per cell]
C 0.000 0.338 0.372 [8 per cell]

Computed properties:
density: 6.844 g/cm³
density of states at the Fermi level: 0.32 states/eV/atom
DFT total energy: -74.6 eV/f.u.
calculated formation energy: -4.0 eV per formula unit

(5)
# BaFePt3

A relaxed structure of BaFePt3 (GGA-PBEsol, Alexandria).

Unit cell a=4.716 b=4.716 c=4.716 alpha=90.00 beta=90.00 gamma=90.00
Space group Pm-3m (No. 221)
Symmetry-distinct sites (fractional):
Ba 0.000 0.000 0.000 [1 per cell]
Fe 0.500 0.500 0.500 [1 per cell]
Pt 0.000 0.500 0.500 [3 per cell]

Computed properties:
density: 12.327 g/cm³
density of states at the Fermi level: 0.86 states/eV/atom
DFT total energy: -31.3 eV/f.u.
calculated formation energy: 0.7 eV per formula unit

(6)
# SrZn2Pt

A relaxed structure of SrZn2Pt (GGA-PBEsol, Alexandria).

Unit cell a=6.670 b=6.670 c=6.670 alpha=90.00 beta=90.00 gamma=90.00
Space group Fm-3m (No. 225)
Symmetry-distinct sites (fractional):
Sr 0.000 0.000 0.000 [4 per cell]
Zn 0.250 0.250 0.250 [8 per cell]
Pt 0.000 0.000 0.500 [4 per cell]

Computed properties:
density: 9.258 g/cm³
density of states at the Fermi level: 0.71 states/eV/atom
DFT total energy: -12.9 eV/f.u.
calculated formation energy: -1.0 eV per formula unit

(7)
# SrHgSb

A relaxed structure of SrHgSb (GGA-PBEsol, Alexandria).

Unit cell a=4.7377 b=4.7377 c=4.6072 alpha=90.00 beta=90.00 gamma=120.00
Space group P3m1 (No. 156)
Symmetry-distinct sites (fractional):
Sr 0.0000 0.0000 0.0000 [1 per cell]
Hg 0.3333 0.6667 0.3733 [1 per cell]
Sb 0.6667 0.3333 0.5660 [1 per cell]

Computed properties:
density: 7.602 g/cm³
density of states at the Fermi level: 0.42 states/eV/atom
DFT total energy: -8.9 eV/f.u.
ΔE to the lowest computed polymorph: 0.0 kJ/mol of formula units
formation energy without anion corrections: -641.9 meV/atom

(8)
# BeFeTc2

A relaxed structure of BeFeTc2 (GGA-PBEsol, Alexandria).

Unit cell a=2.750 b=4.064 c=8.146 alpha=90.00 beta=90.00 gamma=90.00
Space group Imm2 (No. 44)
Symmetry-distinct sites (fractional):
Be 0.000 0.000 0.000 [2 per cell]
Fe 0.000 0.500 0.717 [2 per cell]
Tc 0.000 0.000 0.479 [2 per cell]
Tc 0.000 0.500 0.252 [2 per cell]

Computed properties:
density: 9.515 g/cm³
density of states at the Fermi level: 0.96 states/eV/atom
DFT total energy: -35.6 eV/f.u.
calculated formation energy: -0.1 eV per formula unit

(9)
# ZrAlCu2

A relaxed structure of ZrAlCu2 (GGA-PBEsol, Alexandria).

Unit cell a=4.688 b=4.104 c=6.251 alpha=90.00 beta=90.00 gamma=90.00
Space group Pmma (No. 51)
Symmetry-distinct sites (fractional):
Zr 0.250 0.000 0.186 [2 per cell]
Al 0.250 0.500 0.859 [2 per cell]
Cu 0.000 0.500 0.500 [2 per cell]
Cu 0.250 0.000 0.622 [2 per cell]

Computed properties:
density: 6.774 g/cm³
density of states at the Fermi level: 0.40 states/eV/atom
DFT total energy: -23.0 eV/f.u.
calculated formation energy: -1.1 eV per formula unit

(10)
# NiSb2Te

A relaxed structure of NiSb2Te (GGA-PBEsol, Alexandria).

Unit cell a=3.177 b=4.891 c=11.533 alpha=90.00 beta=90.00 gamma=90.00
Space group Immm (No. 71)
Symmetry-distinct sites (fractional):
Ni 0.000 0.000 0.000 [2 per cell]
Sb 0.000 0.500 0.319 [4 per cell]
Te 0.000 0.000 0.500 [2 per cell]

Computed properties:
density: 7.965 g/cm³
density of states at the Fermi level: 0.67 states/eV/atom
DFT total energy: -18.6 eV/f.u.
formation energy without anion corrections: 58.2 meV/atom

(11)
# Ni8P

A relaxed structure of Ni8P (GGA-PBEsol, Alexandria).

Unit cell a=7.282 b=7.282 c=3.477 alpha=90.00 beta=90.00 gamma=90.00
Space group I4/mmm (No. 139)
Symmetry-distinct sites (fractional):
Ni 0.000 0.331 0.000 [8 per cell]
Ni 0.164 0.164 0.500 [8 per cell]
P 0.000 0.000 0.000 [2 per cell]

Computed properties:
density: 9.015 g/cm³
density of states at the Fermi level: 1.28 states/eV/atom
DFT total energy: -56.4 eV/f.u.
calculated formation energy: -1.4 eV per formula unit

(12)
# AgTe2F

A relaxed structure of AgTe2F (GGA-PBEsol, Alexandria).

Unit cell a=3.1521 b=3.1521 c=28.6288 alpha=90.00 beta=90.00 gamma=120.00
Space group R-3m (No. 166, hexagonal axes)
Symmetry-distinct sites (fractional):
Ag 0.0000 0.0000 0.0000 [3 per cell]
Te 0.0000 0.0000 0.0941 [6 per cell]
F 0.0000 0.0000 0.5000 [3 per cell]

Computed properties:
density: 7.726 g/cm³
density of states at the Fermi level: 0.64 states/eV/atom
DFT total energy: -13.3 eV/f.u.
formation energy without anion corrections: -264.0 meV/atom